(1)
MgNbS2N | PBE-GGA | relaxed

Energy above the lowest structure with this stoichiometry ... 506.7 kJ/mol of formula units
N(E_F) ... 6.1 states/eV per cell
M_tot ... 0.00 μB per atom

```
5
Lattice="4.670 0.000 0.000 0.000 4.670 0.000 0.000 0.000 3.746" Properties=species:S:1:pos:R:3 pbc="T T T"
Mg 0.000 0.000 0.000
Nb 2.335 2.335 1.873
S 0.000 2.335 0.000
S 2.335 0.000 0.000
N 0.000 0.000 1.873
```

=====

(2)
MgNbS2N | PBE-GGA | relaxed

Energy above the lowest structure with this stoichiometry ... 0.0 kJ/mol of formula units
N(E_F) ... 1.8 states/eV per cell
M_tot ... 0.00 μB per atom

```
5
Lattice="4.952 0.000 0.000 0.000 4.952 0.000 0.000 0.000 3.892" Properties=species:S:1:pos:R:3 pbc="T T T"
Mg 2.476 2.476 1.946
Nb 0.000 0.000 0.000
S 0.000 2.476 0.000
S 2.476 0.000 0.000
N 0.000 0.000 1.946
```

=====

(3)
MgScNb2N4 | PBE-GGA | relaxed

N(E_F) ... 3.2 states/eV per cell
M_tot ... 0.00 μB per atom

```
8
Lattice="3.103 0.000 0.000 0.000 5.360 0.089 0.000 -1.877 5.204" Properties=species:S:1:pos:R:3 pbc="T T T"
Mg 0.000 0.000 0.000
Sc 1.552 2.680 0.044
Nb 1.552 -0.939 2.602
Nb 0.000 1.741 2.646
N 1.552 0.862 1.335
N 1.552 2.621 3.957
N 0.000 -0.084 3.926
N 0.000 3.567 1.367
```

=====

(4)
Mg2ScNbN4 | PBE-GGA | relaxed

N(E_F) ... 0.4 states/eV per cell
M_tot ... 0.00 μB per atom

```
8
Lattice="-1.513 2.293 -1.537 -3.443 -3.669 -2.083 -1.971 1.838 4.681" Properties=species:S:1:pos:R:3 pbc="T T T"
Mg -1.742 2.065 1.572
Mg -2.707 -0.915 1.299
Sc -2.478 -0.688 -1.810
Nb 0.000 0.000 0.000
N -2.036 0.712 -0.157
N -4.891 -0.251 1.217
N -2.342 0.512 3.068
N -3.073 -2.343 -0.470
```

=====

(5)
MgSc2NbN4 | PBE-GGA | relaxed

N(E_F) ... 2.1 states/eV per cell
M_tot ... 0.00 μB per atom

```
8
Lattice="-0.102 3.058 -0.734 -3.566 -1.076 -3.987 -2.728 1.011 4.591" Properties=species:S:1:pos:R:3 pbc="T T T"
Mg -1.834 0.991 -2.360
Sc -1.415 2.034 1.929
Sc -3.147 -0.033 0.302
Nb 0.000 0.000 0.000
N -1.598 1.513 -0.217
N -4.799 1.479 0.087
N -2.919 0.505 2.510
N -3.376 -0.570 -1.905
```

=====

(6)
MgNbSeN2 | PBE-GGA | relaxed

Energy above the lowest structure with this stoichiometry ... 0.0 kJ/mol of formula units
N(E_F) ... 1.8 states/eV per cell
M_tot ... 0.08 μB per atom

```
5
Lattice="-0.312 -3.425 2.053 2.695 1.339 2.643 -4.036 2.175 3.015" Properties=species:S:1:pos:R:3 pbc="T T T"
Nb 0.000 0.000 0.000
Mg -0.826 0.044 3.855
Se -2.018 1.087 1.507
N 1.348 0.670 1.321
N -0.156 -1.712 1.027
```

=====

(7)
MgNbSeN2 | PBE-GGA | relaxed

Energy above the lowest structure with this stoichiometry ... 615.1 kJ/mol of formula units
N(E_F) ... 5.7 states/eV per cell
M_tot ... 0.00 μB per atom

```
5
Lattice="3.887 0.000 0.000 0.000 3.887 0.000 0.000 0.000 4.931" Properties=species:S:1:pos:R:3 pbc="T T T"
Nb 1.944 1.944 2.466
Mg 0.000 0.000 0.000
Se 0.000 0.000 2.466
N 0.000 1.944 0.000
N 1.944 0.000 0.000
```

=====

(8)
Mg2NbSeN | PBE-GGA | relaxed

N(E_F) ... 3.8 states/eV per cell
M_tot ... 0.26 μB per atom

```
5
Lattice="4.371 0.000 0.000 0.000 4.292 0.000 0.000 0.000 4.371" Properties=species:S:1:pos:R:3 pbc="T T T"
Nb 0.000 2.146 0.000
Mg 0.000 0.000 2.185
Mg 2.185 0.000 0.000
Se 2.185 2.146 2.185
N 0.000 0.000 0.000
```

=====

no.,uncorrected formation energy (meV/atom)
1,676
2,-374
3,-1253
4,-1192
5,-1472
6,-118
7,1157
8,-279